# Fe3HgRh

A relaxed structure of Fe3HgRh (PBE, Alexandria via LeMat-Bulk).

Unit cell a=4.642 b=4.642 c=4.642 alpha=90.00 beta=90.00 gamma=90.00
Atoms (fractional coordinates):
Fe1 0.000 0.000 0.500
Fe2 0.000 0.500 0.000
Fe3 0.500 0.000 0.000
Hg1 0.500 0.500 0.500
Rh1 0.000 0.000 0.000

Volume ... 100 Å³ per cell
Relative energy among the computed polymorphs ... 0 meV/atom
Energy relative to the elements ... 1.07 eV per atom